## Sn3GeN (PBE)

Data for crystalline Sn3GeN at its relaxed geometry.

Unit cell a=4.802 b=4.802 c=4.802 alpha=90.00 beta=90.00 gamma=90.00
Element x y z (fractional)
N 0.000 0.000 0.000
Sn 0.000 0.000 0.500
Sn 0.000 0.500 0.000
Ge 0.500 0.500 0.500
Sn 0.500 0.000 0.000

Output
**DFT total energy**: -4.4735 eV per atom
**E_form (uncorrected)**: 517 meV per atom

## Sn2GeN (PBE)

Data for crystalline Sn2GeN at its relaxed geometry.

Unit cell a=4.773 b=4.773 c=4.773 alpha=60.00 beta=60.00 gamma=60.00
Element x y z (fractional)
Sn 0.750 0.750 0.750
Sn 0.250 0.250 0.250
N 0.000 0.000 0.000
Ge 0.500 0.500 0.500

Output
**Energy relative to the lowest polymorph listed for this composition**: 0.6277 eV per atom
**DFT total energy**: -4.2623 eV per atom
**E_form (uncorrected)**: 975 meV per atom